[1]
The following is a PBE calculation of crystalline Ba2DyMgTe5 at its relaxed geometry, from Alexandria via LeMat-Bulk.

The value obtained for the uncorrected formation energy is -1.33 eV per atom.

The structure belongs to space group Cmc2_1 (No. 36); the cell edges are 4.652, 20.145 and 14.100 Å and the angles 90.00°, 90.00° and 90.00°. The asymmetric unit holds Ba at (0.000, 0.113, 0.000), Ba at (0.000, 0.128, 0.628), Dy at (0.000, 0.208, 0.328), Mg at (0.000, 0.441, 0.756), Te at (0.000, 0.055, 0.366), Te at (0.000, 0.291, 0.973), Te at (0.000, 0.307, 0.679), Te at (0.000, 0.358, 0.318) and Te at (0.000, 0.496, 0.083).

[2]
The following is a PBE calculation of crystalline BaDyMgTl at its relaxed geometry, from Alexandria via LeMat-Bulk.

The calculation puts the calculated formation energy at -0.1153 eV per atom.

The structure belongs to space group F-43m (No. 216); the cell edges are 8.091, 8.091 and 8.091 Å and the angles 90.00°, 90.00° and 90.00°. The asymmetric unit holds Ba at (0.000, 0.000, 0.000), Dy at (0.000, 0.000, 0.500), Mg at (0.250, 0.250, 0.750) and Tl at (0.250, 0.250, 0.250).

no.,raw total energy (eV per atom)
1,-4.19
2,-2.74